(1)
DFT (PBE-GGA) results for an optimized crystal structure of HoCr4Mo.

a = 4.9944 Å, b = 4.9944 Å, c = 4.9944 Å
α = 60.00°, β = 60.00°, γ = 60.00°
Fractional coordinates of all 6 atoms:
Ho: 0.0000 0.0000 0.0000
Cr: 0.1269 0.6244 0.6244
Cr: 0.6244 0.1269 0.6244
Cr: 0.6244 0.6244 0.1269
Cr: 0.6244 0.6244 0.6244
Mo: 0.2500 0.2500 0.2500

- SG = F-43m (216)
- DFT formation energy (eV per atom) = 0.21

---

(2)
DFT (PBE-GGA) results for an optimized crystal structure of HoCrN3.

a = 6.9308 Å, b = 6.9308 Å, c = 5.8572 Å
α = 103.43°, β = 103.43°, γ = 84.64°
Fractional coordinates of all 20 atoms:
Ho: 0.0895 0.9105 0.7500
Ho: 0.3286 0.6714 0.2500
Ho: 0.6714 0.3286 0.7500
Ho: 0.9105 0.0895 0.2500
Cr: 0.1996 0.3800 0.7503
Cr: 0.3800 0.1996 0.2503
Cr: 0.6200 0.8004 0.7497
Cr: 0.8004 0.6200 0.2497
N: 0.0007 0.2292 0.6572
N: 0.1239 0.6095 0.8519
N: 0.2292 0.0007 0.1572
N: 0.3277 0.3781 0.5069
N: 0.3781 0.3277 0.0069
N: 0.3905 0.8761 0.6481
N: 0.6095 0.1239 0.3519
N: 0.6219 0.6723 0.9931
N: 0.6723 0.6219 0.4931
N: 0.7708 0.9993 0.8428
N: 0.8761 0.3905 0.1481
N: 0.9993 0.7708 0.3428

- SG = C2/c (15)
- uncorrected formation energy (meV per atom) = -847.0

---

(3)
DFT (PBE-GGA) results for an optimized crystal structure of Ho2CrN4.

a = 5.4852 Å, b = 5.4625 Å, c = 6.5746 Å
α = 90.00°, β = 108.03°, γ = 90.00°
Fractional coordinates of all 14 atoms:
Ho: 0.1966 0.2500 0.0362
Ho: 0.2672 0.2500 0.5632
Ho: 0.7328 0.7500 0.4368
Ho: 0.8034 0.7500 0.9638
Cr: 0.2488 0.7500 0.8028
Cr: 0.7512 0.2500 0.1972
N: 0.0321 0.5050 0.7437
N: 0.0321 0.9950 0.7437
N: 0.4215 0.7500 0.0687
N: 0.4527 0.7500 0.6465
N: 0.5473 0.2500 0.3535
N: 0.5785 0.2500 0.9313
N: 0.9679 0.0050 0.2563
N: 0.9679 0.4950 0.2563

- SG = P2_1/m (11)
- uncorrected formation energy (meV per atom) = -1120.3

---

| no. | calculated total energy (eV per atom) | M_tot (μB per atom) |
| --- | --- | --- |
| 1 | -8.7710 | 0.00 |
| 2 | -8.6825 | 0.00 |
| 3 | -8.5604 | 0.00 |